Record 1
ZrTlCl2 after structural relaxation. Source: the Alexandria database, functional GGA-PBEsol.

Lattice parameters (Å, degrees): 3.5626 3.5626 6.9283 90.00 90.00 90.00
Closest atoms and distances in Å follow each position.
Space group P4mm (No. 99)
Symmetry-distinct sites (fractional):
Zr1 0.0000 0.0000 0.0000 x1  5 Cl 2.48-2.62
Tl1 0.5000 0.5000 0.6676 x1  5 Cl 3.02-3.31
Cl1 0.0000 0.0000 0.3574 x1  1 Zr 2.48
Cl2 0.5000 0.5000 0.1031 x1  4 Zr 2.62

Results
ΔE_f (raw), eV per atom: -0.83
Relative energy among the computed polymorphs, eV/atom: 0.137
DFT total energy, eV per atom: -4.77
Magnetization, μB per cell: 0.00

Record 2
Be2V2Os after structural relaxation. Source: the Alexandria database, functional GGA-PBEsol.

Lattice parameters (Å, degrees): 6.0023 6.0023 3.0064 90.00 90.00 90.00
Closest atoms and distances in Å follow each position.
Space group P4/mbm (No. 127)
Symmetry-distinct sites (fractional):
Be1 0.1225 0.3775 0.0000 x4  1 Be 2.08, 2 V 2.29
V1 0.1738 0.6738 0.5000 x4  6 Be 2.29-2.35
Os1 0.0000 0.0000 0.0000 x2  4 Be 2.38

Results
DFT total energy, eV per atom: -8.22
Magnetization, μB per cell: 0.00

Record 3
InRhSBr2 after structural relaxation. Source: the Alexandria database, functional GGA-PBEsol.

Lattice parameters (Å, degrees): 4.8316 4.8316 5.3907 90.00 90.00 90.00
Closest atoms and distances in Å follow each position.
Space group P4/mmm (No. 123)
Symmetry-distinct sites (fractional):
In1 0.0000 0.0000 0.0000 x1  2 S 2.70
Rh1 0.5000 0.5000 0.0000 x1  4 In 3.42, 8 Br 3.62
S1 0.0000 0.0000 0.5000 x1  4 Br 2.42, 2 In 2.70
Br1 0.0000 0.5000 0.5000 x2  2 S 2.42

Results
ΔE_f (raw), eV per atom: 0.85
DFT total energy, eV per atom: -3.00
Magnetization, μB per cell: 0.90

Record 4
BePd after structural relaxation. Source: the Alexandria database, functional GGA-PBEsol.

Lattice parameters (Å, degrees): 2.7978 2.7978 2.7978 90.00 90.00 90.00
Closest atoms and distances in Å follow each position.
Space group Pm-3m (No. 221)
Symmetry-distinct sites (fractional):
Be1 0.0000 0.0000 0.0000 x1  8 Pd 2.42
Pd1 0.5000 0.5000 0.5000 x1  8 Be 2.42

Results
DFT total energy, eV per atom: -5.60
Magnetization, μB per cell: 0.00

Record 5
Be2CuBr after structural relaxation. Source: the Alexandria database, functional GGA-PBEsol.

Lattice parameters (Å, degrees): 2.9845 3.0824 5.9516 90.00 90.00 90.00
Closest atoms and distances in Å follow each position.
Space group Pmmm (No. 47)
Symmetry-distinct sites (fractional):
Be1 0.0000 0.0000 0.1785 x2  1 Be 2.12
Cu1 0.5000 0.5000 0.0000 x1  8 Be 2.39
Br1 0.5000 0.0000 0.5000 x1  4 Be 2.43

Results
ΔE_f (raw), eV per atom: 0.28
Relative energy among the computed polymorphs, eV/atom: 0.138
DFT total energy, eV per atom: -3.27
Magnetization, μB per cell: 0.00

Record 6
NbRu3Pb after structural relaxation. Source: the Alexandria database, functional GGA-PBEsol.

Lattice parameters (Å, degrees): 4.6844 4.6844 4.6844 90.00 90.00 90.00
Closest atoms and distances in Å follow each position.
Space group Pm-3m (No. 221)
Symmetry-distinct sites (fractional):
Nb1 0.0000 0.0000 0.0000 x1  6 Ru 2.34
Ru1 0.0000 0.0000 0.5000 x3  2 Nb 2.34
Pb1 0.5000 0.5000 0.5000 x1  12 Ru 3.31

Results
DFT total energy, eV per atom: -7.57
Magnetization, μB per cell: 0.00